(1)
GdDyFe2 | PBE-GGA | optimized geometry

Results
- space-group type = Pmc2_1
- energy relative to the elements (eV per atom) = 0.0180

Cell lengths 3.8155, 5.5556, 7.7254 Å; angles 90.00, 90.00, 90.00 degrees
Atoms (fractional coordinates):
Gd 0.0000 0.1381 0.0000
Gd 0.0000 0.8619 0.5000
Dy 0.5000 0.3622 0.3549
Dy 0.5000 0.6378 0.8549
Fe 0.0000 0.3417 0.6466
Fe 0.0000 0.6583 0.1466
Fe 0.5000 0.1659 0.7059
Fe 0.5000 0.8341 0.2059

(2)
GdDyFe2Ge2 | PBE-GGA | optimized geometry

Results
- total energy (eV per atom) = -6.379
- space-group type = P4mm

Cell lengths 4.1137, 4.1137, 6.5458 Å; angles 90.00, 90.00, 90.00 degrees
Atoms (fractional coordinates):
Gd 0.0000 0.0000 0.0000
Dy 0.5000 0.5000 0.6205
Fe 0.0000 0.5000 0.3136
Fe 0.5000 0.0000 0.3136
Ge 0.0000 0.0000 0.5075
Ge 0.5000 0.5000 0.1193